DFT (PBE-GGA) results for crystalline ZnSbOs2 at its relaxed geometry.

Unit cell a=8.445 b=8.445 c=8.445 alpha=20.56 beta=20.56 gamma=20.56
Element x y z (fractional)
Os 0.000 0.000 0.000
Os 0.500 0.500 0.500
Sb 0.250 0.250 0.250
Zn 0.750 0.750 0.750

Values from the calculation:
The mass density is 14.502 g cm⁻³. The uncorrected formation energy is 614 meV per atom. The calculation puts the energy above the most stable polymorph in this dataset at 1.09 eV/f.u. The calculation puts the total magnetic moment at 0.00 μB/f.u.